[1]
DFT (PBE) results for a relaxed structure of Zr4Sc5.

Cell lengths 4.488, 7.248, 7.248 Å; angles 95.50, 108.04, 71.96 degrees
Atoms (fractional coordinates):
Sc 0.000 0.000 0.000
Sc 0.330 0.000 0.659
Sc 0.670 0.000 0.341
Sc 0.670 0.659 0.000
Sc 0.330 0.341 0.000
Zr 0.338 0.662 0.338
Zr 0.662 0.338 0.662
Zr 0.000 0.338 0.338
Zr 0.000 0.662 0.662

- DFT formation energy: 0.0316 eV per atom
- Calculated total energy: -65.6 eV/cell
- Relative energy among the computed polymorphs: 16 meV/atom



[2]
DFT (PBE) results for a relaxed structure of TlNi2Au2.

Cell lengths 3.870, 3.870, 6.586 Å; angles 72.92, 72.92, 90.00 degrees
Atoms (fractional coordinates):
Ni 0.403 0.403 0.195
Ni 0.597 0.597 0.805
Tl 0.000 0.000 0.000
Au 0.750 0.250 0.500
Au 0.250 0.750 0.500

- DFT formation energy: 0.2806 eV per atom
- Calculated total energy: -19.1 eV/cell
- Relative energy among the computed polymorphs: 141 meV/atom



[3]
DFT (PBE) results for a relaxed structure of K3TaS.

Cell lengths 6.405, 6.405, 6.405 Å; angles 90.00, 90.00, 90.00 degrees
Atoms (fractional coordinates):
K 0.000 0.500 0.000
K 0.000 0.000 0.500
K 0.500 0.000 0.000
S 0.500 0.500 0.500
Ta 0.000 0.000 0.000

- Raw formation energy: 1.297 eV per atom
- Calculated total energy: -12.8 eV/cell



[4]
DFT (PBE) results for a relaxed structure of Zn2IrRh.

Cell lengths 2.793, 4.854, 5.276 Å; angles 52.49, 90.00, 90.00 degrees
Atoms (fractional coordinates):
Zn 0.000 0.000 0.000
Zn 0.500 0.500 0.000
Ir 0.500 0.500 0.500
Rh 0.000 0.000 0.500

- DFT formation energy: -0.2251 eV per atom
- Calculated total energy: -19.7 eV/cell



[5]
DFT (PBE) results for a relaxed structure of Li12PmSi4.

Cell lengths 7.824, 7.824, 7.824 Å; angles 109.47, 109.47, 109.47 degrees
Atoms (fractional coordinates):
Li 0.809 0.338 0.147
Li 0.338 0.529 0.191
Li 0.853 0.191 0.662
Li 0.338 0.147 0.809
Li 0.147 0.809 0.338
Li 0.662 0.471 0.809
Li 0.529 0.191 0.338
Li 0.471 0.809 0.662
Li 0.662 0.853 0.191
Li 0.809 0.662 0.471
Li 0.191 0.338 0.529
Li 0.191 0.662 0.853
Pm 0.000 0.000 0.000
Si 0.000 0.500 0.000
Si 0.500 0.000 0.000
Si 0.500 0.500 0.500
Si 0.000 0.000 0.500

- Raw formation energy: 0.120 eV per atom
- Calculated total energy: -47.4 eV/cell



[6]
DFT (PBE) results for a relaxed structure of RbBa2Sc.

Cell lengths 6.636, 6.636, 6.636 Å; angles 60.00, 60.00, 60.00 degrees
Atoms (fractional coordinates):
Sc 0.000 0.000 0.000
Ba 0.250 0.250 0.250
Ba 0.750 0.750 0.750
Rb 0.500 0.500 0.500

- DFT formation energy: 0.4600 eV per atom
- Calculated total energy: -9.3 eV/cell



[7]
DFT (PBE) results for a relaxed structure of GaFe3Ge.

Cell lengths 4.429, 4.959, 6.680 Å; angles 111.79, 90.00, 90.00 degrees
Atoms (fractional coordinates):
Ga 0.750 0.433 0.867
Ga 0.250 0.567 0.133
Fe 0.750 0.891 0.294
Fe 0.750 0.403 0.294
Fe 0.250 0.597 0.706
Fe 0.250 0.109 0.706
Fe 0.000 0.000 0.000
Fe 0.500 0.000 0.000
Ge 0.750 0.816 0.632
Ge 0.250 0.184 0.368

- DFT formation energy: 0.1214 eV per atom
- Calculated total energy: -64.9 eV/cell
- Relative energy among the computed polymorphs: 0 meV/atom



[8]
DFT (PBE) results for a relaxed structure of LiSm3Hg3.

Cell lengths 7.341, 7.341, 7.208 Å; angles 88.61, 88.61, 86.59 degrees
Atoms (fractional coordinates):
Li 0.469 0.469 0.809
Li 0.531 0.531 0.191
Sm 0.045 0.045 0.747
Sm 0.452 0.039 0.245
Sm 0.039 0.452 0.245
Sm 0.548 0.961 0.755
Sm 0.961 0.548 0.755
Sm 0.955 0.955 0.253
Hg 0.300 0.300 0.550
Hg 0.276 0.724 0.500
Hg 0.724 0.276 0.500
Hg 0.249 0.751 0.000
Hg 0.751 0.249 0.000
Hg 0.700 0.700 0.450

- DFT formation energy: -0.2801 eV per atom
- Calculated total energy: -37.9 eV/cell
- Relative energy among the computed polymorphs: 15 meV/atom



[9]
DFT (PBE) results for a relaxed structure of NiSeS2.

Cell lengths 6.075, 6.075, 5.932 Å; angles 59.20, 59.20, 90.00 degrees
Atoms (fractional coordinates):
Ni 0.500 0.500 0.000
Ni 0.250 0.750 0.500
S 0.565 0.125 0.250
S 0.185 0.625 0.250
S 0.375 0.435 0.750
S 0.875 0.815 0.750
Se 0.000 0.000 0.000
Se 0.750 0.250 0.500

- Raw formation energy: 0.131 eV per atom
- Calculated total energy: -34.0 eV/cell



[10]
DFT (PBE) results for a relaxed structure of AcThBi2.

Cell lengths 4.716, 4.716, 8.228 Å; angles 73.39, 73.39, 59.94 degrees
Atoms (fractional coordinates):
Ac 0.500 0.500 0.500
Th 0.000 0.000 0.000
Bi 0.744 0.744 0.767
Bi 0.256 0.256 0.233

- DFT formation energy: -0.7814 eV per atom
- Calculated total energy: -22.4 eV/cell
- Relative energy among the computed polymorphs: 0 meV/atom



[11]
DFT (PBE) results for a relaxed structure of CsLaTc3.

Cell lengths 5.192, 5.192, 5.192 Å; angles 90.00, 90.00, 90.00 degrees
Atoms (fractional coordinates):
Cs 0.500 0.500 0.500
Tc 0.000 0.500 0.000
Tc 0.000 0.000 0.500
Tc 0.500 0.000 0.000
La 0.000 0.000 0.000

- DFT formation energy: 2.1442 eV per atom
- Calculated total energy: -26.2 eV/cell



[12]
DFT (PBE) results for a relaxed structure of Tb3Hg2Os.

Cell lengths 5.072, 7.953, 7.525 Å; angles 90.00, 90.00, 71.39 degrees
Atoms (fractional coordinates):
Tb 0.826 0.348 0.777
Tb 0.500 0.000 0.232
Tb 0.174 0.652 0.223
Tb 0.826 0.348 0.223
Tb 0.174 0.652 0.777
Tb 0.500 0.000 0.768
Hg 0.000 0.000 0.000
Hg 0.000 0.000 0.500
Hg 0.335 0.332 0.500
Hg 0.665 0.668 0.500
Os 0.336 0.328 0.000
Os 0.664 0.672 0.000

- DFT formation energy: -0.3894 eV per atom
- Calculated total energy: -56.1 eV/cell



[13]
DFT (PBE) results for a relaxed structure of Ba2ZnPN4.

Cell lengths 4.912, 6.120, 10.473 Å; angles 84.60, 76.44, 66.34 degrees
Atoms (fractional coordinates):
Ba 0.177 0.000 0.646
Ba 0.823 0.000 0.354
Ba 0.573 0.500 0.854
Ba 0.927 0.500 0.146
Zn 0.750 0.500 0.500
Zn 0.000 0.000 0.000
P 0.250 0.500 0.500
P 0.500 0.000 0.000
N 0.344 0.821 0.089
N 0.254 0.179 0.911
N 0.835 0.821 0.911
N 0.567 0.179 0.089
N 0.406 0.679 0.411
N 0.496 0.321 0.589
N 0.915 0.679 0.589
N 0.183 0.321 0.411

- Raw formation energy: -0.381 eV per atom
- Calculated total energy: -93.8 eV/cell



[14]
DFT (PBE) results for a relaxed structure of LaPr7Er3.

Cell lengths 5.985, 8.639, 8.639 Å; angles 83.92, 110.27, 110.27 degrees
Atoms (fractional coordinates):
La 0.500 0.500 0.500
Pr 0.208 0.208 0.208
Pr 0.302 0.007 0.596
Pr 0.698 0.404 0.993
Pr 0.302 0.596 0.007
Pr 0.000 0.500 0.500
Pr 0.698 0.993 0.404
Pr 0.792 0.792 0.792
Er 0.000 0.797 0.203
Er 0.500 0.000 0.000
Er 0.000 0.203 0.797

- DFT formation energy: 0.2068 eV per atom
- Calculated total energy: -49.8 eV/cell
- Relative energy among the computed polymorphs: 0 meV/atom



[15]
DFT (PBE) results for a relaxed structure of Ho2Mg2Hg.

Cell lengths 5.152, 5.152, 8.170 Å; angles 50.95, 89.95, 120.00 degrees
Atoms (fractional coordinates):
Ho 0.793 0.085 0.811
Ho 0.207 0.915 0.189
Mg 0.361 0.221 0.459
Mg 0.639 0.779 0.541
Hg 0.000 0.500 0.000

- DFT formation energy: -0.1927 eV per atom
- Calculated total energy: -13.6 eV/cell



[16]
DFT (PBE) results for a relaxed structure of Sc4ZnNiRh2.

Cell lengths 4.597, 4.597, 7.967 Å; angles 73.23, 73.23, 60.00 degrees
Atoms (fractional coordinates):
Sc 0.378 0.378 0.865
Sc 0.872 0.872 0.384
Sc 0.128 0.128 0.616
Sc 0.622 0.622 0.135
Zn 0.000 0.000 0.000
Ni 0.500 0.500 0.500
Rh 0.750 0.750 0.751
Rh 0.250 0.250 0.249

- DFT formation energy: -0.7122 eV per atom
- Calculated total energy: -52.8 eV/cell



[17]
DFT (PBE) results for a relaxed structure of K4Cr2Co.

Cell lengths 6.271, 6.271, 9.499 Å; angles 70.73, 70.73, 90.00 degrees
Atoms (fractional coordinates):
Cr 0.591 0.591 0.818
Cr 0.409 0.409 0.182
K 0.806 0.806 0.388
K 0.194 0.194 0.612
K 0.000 0.500 0.000
K 0.500 0.000 0.000
Co 0.000 0.000 0.000

- DFT formation energy: 1.2087 eV per atom
- Calculated total energy: -22.3 eV/cell



[18]
DFT (PBE) results for a relaxed structure of Pm5ZrAg4.

Cell lengths 3.632, 3.632, 19.991 Å; angles 90.00, 90.00, 90.00 degrees
Atoms (fractional coordinates):
Pm 0.500 0.500 0.112
Pm 0.500 0.500 0.306
Pm 0.500 0.500 0.500
Pm 0.500 0.500 0.694
Pm 0.500 0.500 0.888
Zr 0.000 0.000 0.000
Ag 0.000 0.000 0.208
Ag 0.000 0.000 0.404
Ag 0.000 0.000 0.596
Ag 0.000 0.000 0.792

- DFT formation energy: -0.1748 eV per atom
- Calculated total energy: -45.5 eV/cell



[19]
DFT (PBE) results for a relaxed structure of HfBeZnRh.

Cell lengths 4.310, 4.310, 4.310 Å; angles 60.00, 60.00, 60.00 degrees
Atoms (fractional coordinates):
Rh 0.250 0.250 0.250
Zn 0.000 0.000 0.000
Hf 0.750 0.750 0.750
Be 0.500 0.500 0.500

- DFT formation energy: -0.3473 eV per atom
- Calculated total energy: -23.7 eV/cell



[20]
DFT (PBE) results for a relaxed structure of Cr2PbW.

Cell lengths 5.223, 5.223, 4.408 Å; angles 65.02, 65.02, 35.49 degrees
Atoms (fractional coordinates):
Cr 0.008 0.008 0.992
Cr 0.734 0.734 0.766
Pb 0.493 0.493 0.507
W 0.264 0.264 0.236

- DFT formation energy: 0.6906 eV per atom
- Calculated total energy: -33.1 eV/cell